Version i
This record from Alexandria describes an optimized crystal structure of LiGeCl2. The functional is PBE-GGA.

As for the volume: 21.1 Å³/atom.

POSCAR file:
```
LiGeCl2
1.0
2.018 0.000 7.962
-1.009 1.747 7.962
-1.009 -1.747 7.962
Cl Ge Li
2 1 1
Cartesian
0.000 0.000 2.522 Cl
0.000 0.000 21.363 Cl
0.000 0.000 0.000 Ge
0.000 0.000 11.943 Li
```

=====

Version ii
This record from Alexandria describes an optimized crystal structure of LiGeCl2. The functional is PBE-GGA.

As for the volume: 23.2 Å³/atom.

POSCAR file:
```
LiGeCl2
1.0
-0.822 5.071 4.558
4.456 -3.075 4.225
4.768 2.979 2.720
Cl Ge Li
4 2 2
Cartesian
5.141 2.844 5.524 Cl
6.555 4.120 9.533 Cl
1.273 3.301 3.851 Cl
3.838 -0.314 4.096 Cl
0.000 0.000 0.000 Ge
2.882 4.524 5.834 Ge
5.521 0.451 5.668 Li
1.817 0.998 4.391 Li
```

=====

List of relative energies, unit meV/atom: version i 0; version ii 218

=====

Version i
This record from Alexandria describes an optimized crystal structure of LiGe2Cl. The functional is PBE-GGA.

As for the volume: 28.6 Å³/atom.

POSCAR file:
```
LiGe2Cl
1.0
-5.280 -2.009 8.689
3.965 -9.573 0.197
0.982 -5.088 5.601
Cl Ge Li
2 4 2
Cartesian
0.000 0.000 0.000 Cl
-2.478 -6.444 9.366 Cl
0.472 -8.711 7.544 Ge
-2.255 -3.608 6.355 Ge
1.760 -7.622 3.110 Ge
-0.642 -13.399 11.964 Ge
-0.657 -5.791 4.443 Li
2.145 -10.226 5.120 Li
```

=====

Version ii
This record from Alexandria describes an optimized crystal structure of LiGe2Cl. The functional is PBE-GGA.

As for the volume: 19.8 Å³/atom.

POSCAR file:
```
LiGe2Cl
1.0
-2.574 -3.053 2.705
-4.283 1.355 1.754
-4.049 -1.948 -1.752
Cl Ge Li
1 2 1
Cartesian
-5.453 -1.823 1.353 Cl
-2.727 -0.911 0.677 Ge
-8.180 -2.734 2.030 Ge
0.000 0.000 0.000 Li
```

=====

List of relative energies, unit meV/atom: version i 0; version ii 437

=====

Version i
This record from Alexandria describes an optimized crystal structure of Li2GeCl. The functional is PBE-GGA.

As for the volume: 19.4 Å³/atom.

POSCAR file:
```
Li2GeCl
1.0
-3.630 -1.795 2.548
-0.693 1.430 4.513
-3.756 2.759 1.086
Ge Cl Li
1 1 2
Cartesian
-4.039 1.197 4.074 Ge
0.000 0.000 0.000 Cl
-6.059 1.795 6.111 Li
-2.020 0.598 2.037 Li
```

=====

Version ii
This record from Alexandria describes an optimized crystal structure of Li2GeCl. The functional is PBE-GGA.

As for the volume: 20.7 Å³/atom.

POSCAR file:
```
Li2GeCl
1.0
6.509 0.000 0.000
0.000 6.509 0.000
3.255 3.255 3.907
Cl Li Ge
2 4 2
Cartesian
3.255 6.509 1.954 Cl
3.255 3.255 0.000 Cl
1.977 4.882 0.977 Li
4.882 5.231 2.930 Li
4.532 1.627 0.977 Li
8.136 7.787 2.930 Li
0.000 0.000 0.000 Ge
6.509 3.255 1.954 Ge
```

=====

List of relative energies, unit meV/atom: version i 387; version ii 0

=====

Version i
This record from Alexandria describes an optimized crystal structure of Li2GeCl6. The functional is PBE-GGA.

As for the volume: 22.6 Å³/atom.

POSCAR file:
```
Li2GeCl6
1.0
-0.864 -0.035 6.204
-3.685 -4.879 -0.541
8.339 -6.423 1.125
Li Cl Ge
4 12 2
Cartesian
-0.359 -3.583 -0.070 Li
4.149 -7.754 6.858 Li
2.253 -2.086 3.464 Li
1.537 -9.250 3.325 Li
5.000 -9.954 5.702 Cl
1.933 -3.268 1.274 Cl
-0.748 -6.064 5.163 Cl
1.029 -7.035 2.003 Cl
4.107 -8.922 2.661 Cl
5.419 -6.829 4.902 Cl
4.538 -5.272 1.626 Cl
1.858 -8.068 5.515 Cl
-0.317 -2.414 4.128 Cl
-1.210 -1.382 1.087 Cl
-1.629 -4.507 1.887 Cl
2.762 -4.301 4.786 Cl
4.170 -3.212 0.563 Ge
-2.275 -2.457 2.832 Ge
```

=====

Version ii
This record from Alexandria describes an optimized crystal structure of Li2GeCl6. The functional is PBE-GGA.

As for the volume: 30.4 Å³/atom.

POSCAR file:
```
Li2GeCl6
1.0
5.780 0.137 2.049
3.106 9.488 -0.006
-0.207 -0.083 9.981
Cl Li Ge
12 4 2
Cartesian
5.274 1.786 5.209 Cl
3.289 3.960 8.424 Cl
6.049 2.451 11.361 Cl
1.343 2.171 6.064 Cl
7.336 7.372 5.961 Cl
5.723 6.174 9.564 Cl
2.956 3.369 2.461 Cl
5.390 5.583 3.600 Cl
2.630 7.092 0.663 Cl
3.228 0.541 8.595 Cl
5.451 9.002 3.430 Cl
3.405 7.757 6.816 Cl
5.397 7.551 7.816 Li
6.568 3.205 4.039 Li
2.111 6.338 7.986 Li
3.282 1.992 4.208 Li
2.034 2.251 8.094 Ge
6.645 7.292 3.930 Ge
```

=====

List of relative energies, unit meV/atom: version i 0; version ii 7

=====

Version i
This record from Alexandria describes an optimized crystal structure of Li3GeCl. The functional is PBE-GGA.

As for the volume: 18.9 Å³/atom.

POSCAR file:
```
Li3GeCl
1.0
4.556 0.000 0.000
0.000 4.556 0.000
0.000 0.000 4.556
Ge Li Cl
1 3 1
Cartesian
2.278 2.278 2.278 Ge
0.000 0.000 2.278 Li
0.000 2.278 0.000 Li
2.278 0.000 0.000 Li
0.000 0.000 0.000 Cl
```

=====

Version ii
This record from Alexandria describes an optimized crystal structure of Li3GeCl. The functional is PBE-GGA.

As for the volume: 25.1 Å³/atom.

POSCAR file:
```
Li3GeCl
1.0
5.008 0.000 0.000
0.000 5.008 0.000
0.000 0.000 5.008
Cl Li Ge
1 3 1
Cartesian
2.504 2.504 2.504 Cl
2.504 0.000 0.000 Li
0.000 2.504 0.000 Li
0.000 0.000 2.504 Li
0.000 0.000 0.000 Ge
```

=====

List of relative energies, unit meV/atom: version i 0; version ii 363

=====

Version i
This record from Alexandria describes an optimized crystal structure of Li2NbGeCl. The functional is PBE-GGA.

As for the volume: 32.2 Å³/atom.

POSCAR file:
```
Li2NbGeCl
1.0
5.784 0.000 0.000
0.000 4.809 0.000
0.000 0.000 5.784
Nb Li Ge Cl
1 2 1 1
Cartesian
0.000 0.000 0.000 Nb
0.000 0.000 2.892 Li
2.892 0.000 0.000 Li
0.000 2.404 0.000 Ge
2.892 2.404 2.892 Cl
```

=====

Version ii
This record from Alexandria describes an optimized crystal structure of Li2NbGeCl. The functional is PBE-GGA.

As for the volume: 23.3 Å³/atom.

POSCAR file:
```
Li2NbGeCl
1.0
-1.777 3.931 -1.784
-4.828 -1.337 1.862
0.923 2.231 3.995
Li Cl Ge Nb
2 1 1 1
Cartesian
-0.888 1.965 -0.892 Li
0.462 1.115 1.998 Li
-2.414 -0.668 0.931 Cl
0.000 0.000 0.000 Ge
-2.841 2.412 2.037 Nb
```

=====

List of relative energies, unit meV/atom: version i 0; version ii 40